No. 1
PrHoEr3Tm, relaxed, DFT PBE; density of states at the Fermi level = 20.56 states/eV per cell; space-group type = C2/m; calculated formation energy = 210 meV/atom; V = 199 Å³/f.u.
1.0
-3.0269 -2.7231 -3.4664
-4.2447 -3.0477 10.2252
-4.8012 4.7171 0.4868
Er Ho Tm Pr
6 2 2 2
Cartesian
-5.2511 1.8352 -0.9807
-3.4957 -1.1273 3.9381
-8.5771 0.0734 3.3076
-6.5995 -2.9318 3.9416
-5.4732 1.8780 3.3040
-6.8217 -2.8890 8.2264
-6.3773 -0.4211 5.8996
-5.6954 -0.6327 1.3460
-9.5073 -2.0969 5.8249
-2.5654 1.0431 1.4208
-8.9881 1.3513 6.7870
-3.0847 -2.4051 0.4586

=====

No. 2
Pr2HoEr2Tm, relaxed, DFT PBE; density of states at the Fermi level = 17.95 states/eV per cell; space-group type = Pmma; calculated formation energy = 70 meV/atom; V = 193 Å³/f.u.
1.0
5.6409 0.0000 0.0000
0.0000 7.0061 0.0000
0.0000 0.0000 9.7828
Ho Er Pr Tm
2 4 4 2
Cartesian
2.8204 5.3093 6.4363
2.8204 1.8063 3.3465
0.0000 5.3069 8.1729
2.8204 1.8055 6.5206
0.0000 1.8039 1.6098
2.8204 5.3086 3.2622
2.8204 0.0526 0.0017
0.0000 1.8032 8.0284
0.0000 5.3062 1.7544
2.8204 3.5557 9.7810
0.0000 0.0541 4.8904
0.0000 3.5572 4.8924

=====

No. 3
Pr6HoErTm2, relaxed, DFT PBE; density of states at the Fermi level = 29.55 states/eV per cell; space-group type = C2/c; calculated formation energy = 116 meV/atom; V = 342 Å³/f.u.
1.0
-0.7298 -5.0236 -8.2138
-5.7885 -5.2349 4.4374
-3.1883 7.5695 -3.6248
Tm Pr Er Ho
4 12 2 2
Cartesian
-2.4966 -1.5665 -4.6767
-2.3778 -0.2666 0.1933
-7.2100 -1.1225 -2.7245
-7.3288 -2.4224 -7.5944
-3.1358 4.9243 -2.7134
-3.4143 -3.8446 0.9266
-5.5270 -0.3144 -5.4628
-4.1796 -2.3745 -1.9383
-3.9787 -2.1001 -7.7995
-6.2923 1.1556 -8.3278
-5.1945 -5.9286 -1.5684
-2.3325 0.7681 -7.6661
-5.7279 -0.5889 0.3984
-4.5121 3.2397 -5.8328
-6.5709 -7.6132 -4.6878
-7.3742 -3.4571 0.2650
-3.8118 3.4271 -9.5492
-5.8948 -6.1161 2.1480
-5.2656 -3.7324 -5.0413
-4.4410 1.0434 -2.3599

=====

- V of number 1 (PrHoEr3Tm)?
  199 Å³/f.u.

=====

- Which value of V does entry 3 give?
  342 Å³/f.u.